This record from Alexandria via LeMat-Bulk describes an optimized crystal structure of CsRb3Te. The functional is PBE.

Computed properties:
**E above lowest polymorph**: 0.000 eV per atom
**Formation energy (no corrections)**: -499 meV per atom
**Space group**: No. 221

a = 7.2486 Å, b = 7.2486 Å, c = 7.2486 Å
α = 90.00°, β = 90.00°, γ = 90.00°
Closest atoms and distances in Å follow each position.
Fractional coordinates of all 5 atoms:
Cs  0.5000  0.5000  0.5000  12 Rb 5.13
Te  0.0000  0.0000  0.0000  6 Rb 3.62
Rb  0.0000  0.5000  0.0000  2 Te 3.62
Rb  0.0000  0.0000  0.5000  2 Te 3.62
Rb  0.5000  0.0000  0.0000  2 Te 3.62

***

This record from Alexandria via LeMat-Bulk describes an optimized crystal structure of Pm4YCu5. The functional is PBE.

Computed properties:
**Formation energy from the elements**: -0.180 eV/atom
**Space group**: No. 123

a = 3.5317 Å, b = 3.5317 Å, c = 17.9292 Å
α = 90.00°, β = 90.00°, γ = 90.00°
Closest atoms and distances in Å follow each position.
Fractional coordinates of all 10 atoms:
Pm  0.0000  0.0000  0.1973  8 Cu 3.09-3.11
Pm  0.0000  0.0000  0.3993  8 Cu 3.08
Pm  0.0000  0.0000  0.6007  8 Cu 3.08
Pm  0.0000  0.0000  0.8027  8 Cu 3.09-3.11
Y  0.0000  0.0000  0.0000  8 Cu 3.02
Cu  0.5000  0.5000  0.0944  4 Y 3.02, 4 Pm 3.11
Cu  0.5000  0.5000  0.2987  8 Pm 3.08-3.09
Cu  0.5000  0.5000  0.5000  8 Pm 3.08
Cu  0.5000  0.5000  0.7013  8 Pm 3.08-3.09
Cu  0.5000  0.5000  0.9056  4 Y 3.02, 4 Pm 3.11

***

This record from Alexandria via LeMat-Bulk describes an optimized crystal structure of Li2GaHPd. The functional is PBE.

Computed properties:
**E above lowest polymorph**: 0.054 eV per atom
**Space group**: No. 123

a = 3.7090 Å, b = 3.7090 Å, c = 4.3341 Å
α = 90.00°, β = 90.00°, γ = 90.00°
Closest atoms and distances in Å follow each position.
Fractional coordinates of all 5 atoms:
H  0.0000  0.0000  0.0000  4 Li 1.85
Ga  0.0000  0.0000  0.5000  2 H 2.17
Pd  0.5000  0.5000  0.5000  4 Ga 2.62, 8 Li 2.85
Li  0.0000  0.5000  0.0000  2 H 1.85
Li  0.5000  0.0000  0.0000  2 H 1.85

***

This record from Alexandria via LeMat-Bulk describes an optimized crystal structure of Sc2InBi. The functional is PBE.

Computed properties:
**Formation energy from the elements**: -0.064 eV/atom
**E above lowest polymorph**: 0.336 eV per atom
**Space group**: No. 166

a = 10.7679 Å, b = 10.7679 Å, c = 10.7679 Å
α = 18.41°, β = 18.41°, γ = 18.41°
Closest atoms and distances in Å follow each position.
Fractional coordinates of all 4 atoms:
Sc  0.9065  0.9065  0.9065  1 Bi 2.97, 3 In 3.06
Sc  0.0935  0.0935  0.0935  1 Bi 2.97, 3 In 3.06
Bi  0.0000  0.0000  0.0000  2 Sc 2.97
In  0.5000  0.5000  0.5000  6 Sc 3.06

***

no.,N(E_F) (states/eV/cell)
1,1.5
2,5.9
3,1.3
4,3.3